! CaHg2TeAs, relaxed, DFT PBE; values from VASP
&SYSTEM
  ibrav = 0, nat = 5, ntyp = 4
/
ATOMIC_SPECIES
Ca 40.08 Ca.upf
Hg 200.59 Hg.upf
Te 127.60 Te.upf
As 74.92 As.upf
CELL_PARAMETERS angstrom
5.274 0.000 0.000
0.000 5.274 0.000
0.000 0.000 5.800
ATOMIC_POSITIONS angstrom
Ca 0.000 0.000 0.000
Hg 0.000 2.637 2.900
Hg 2.637 0.000 2.900
Te 2.637 2.637 0.000
As 2.637 2.637 2.900
! - Calculated density: 6627 kg/m³
! - Raw formation energy: -0.66 eV per formula unit
! - DFT total energy: -0.1625 Ry/atom



! Li2Ag2Te, relaxed, DFT PBE; values from VASP
&SYSTEM
  ibrav = 0, nat = 10, ntyp = 3
/
ATOMIC_SPECIES
Li 6.94 Li.upf
Ag 107.87 Ag.upf
Te 127.60 Te.upf
CELL_PARAMETERS angstrom
6.828 0.000 0.000
0.000 6.828 0.000
0.000 0.000 4.191
ATOMIC_POSITIONS angstrom
Li 0.947 2.467 0.000
Li 2.467 5.881 0.000
Li 4.362 0.947 0.000
Li 5.881 4.362 0.000
Ag 0.982 4.396 2.095
Ag 2.432 0.982 2.095
Ag 4.396 5.846 2.095
Ag 5.846 2.432 2.095
Te 0.000 0.000 0.000
Te 3.414 3.414 0.000
! - Calculated density: 6071 kg/m³
! - Raw formation energy: -1.26 eV per formula unit
! - DFT total energy: -0.2049 Ry/atom



! CsSr2CaAg, relaxed, DFT PBE; values from VASP
&SYSTEM
  ibrav = 0, nat = 5, ntyp = 4
/
ATOMIC_SPECIES
Cs 132.91 Cs.upf
Sr 87.62 Sr.upf
Ca 40.08 Ca.upf
Ag 107.87 Ag.upf
CELL_PARAMETERS angstrom
6.438 0.000 0.000
0.000 6.438 0.000
0.000 0.000 6.156
ATOMIC_POSITIONS angstrom
Cs 0.000 0.000 0.000
Sr 0.000 3.219 3.078
Sr 3.219 0.000 3.078
Ca 3.219 3.219 0.000
Ag 3.219 3.219 3.078
! - Calculated density: 2969 kg/m³
! - DFT formation energy: -0.014 eV per atom
! - DFT total energy: -0.1344 Ry/atom



! Ce2NClO, relaxed, DFT PBE; values from VASP
&SYSTEM
  ibrav = 0, nat = 5, ntyp = 4
/
ATOMIC_SPECIES
Ce 140.12 Ce.upf
N 14.01 N.upf
Cl 35.45 Cl.upf
O 16.00 O.upf
CELL_PARAMETERS angstrom
3.971 0.000 0.000
-1.986 3.439 0.000
0.000 0.000 7.198
ATOMIC_POSITIONS angstrom
Ce 0.000 0.000 0.000
Ce 0.000 2.293 2.795
N 0.000 0.000 2.273
Cl 1.986 1.146 5.008
O 0.000 2.293 0.378
! - Calculated density: 5840 kg/m³
! - Raw formation energy: -11.88 eV per formula unit
! - DFT total energy: -0.5715 Ry/atom



! Li2BeCl, relaxed, DFT PBE; values from VASP
&SYSTEM
  ibrav = 0, nat = 4, ntyp = 3
/
ATOMIC_SPECIES
Li 6.94 Li.upf
Be 9.01 Be.upf
Cl 35.45 Cl.upf
CELL_PARAMETERS angstrom
-1.582 3.355 4.012
1.582 -3.355 4.012
1.582 3.355 -4.012
ATOMIC_POSITIONS angstrom
Li 0.000 0.000 1.705
Li 0.000 0.000 6.319
Be 0.000 3.355 0.000
Cl 1.582 0.000 0.000
! - Calculated density: 1137 kg/m³
! - Raw formation energy: -0.60 eV per formula unit
! - DFT total energy: -0.1837 Ry/atom
! - E above lowest polymorph: 219 meV/atom



! Zr5CuSb3, relaxed, DFT PBE; values from VASP
&SYSTEM
  ibrav = 0, nat = 18, ntyp = 3
/
ATOMIC_SPECIES
Zr 91.22 Zr.upf
Cu 63.55 Cu.upf
Sb 121.76 Sb.upf
CELL_PARAMETERS angstrom
8.644 0.000 0.000
-4.322 7.486 0.000
0.000 0.000 5.847
ATOMIC_POSITIONS angstrom
Zr -1.145 1.984 1.462
Zr -3.176 5.502 4.385
Zr 2.291 0.000 1.462
Zr 1.145 1.984 4.385
Zr 0.000 4.990 0.000
Zr 0.000 4.990 2.923
Zr 4.322 2.495 0.000
Zr 4.322 2.495 2.923
Zr 6.353 0.000 4.385
Zr 3.176 5.502 1.462
Cu 0.000 0.000 0.000
Cu 0.000 0.000 2.923
Sb -1.662 2.879 4.385
Sb -2.659 4.606 1.462
Sb 3.325 0.000 4.385
Sb 1.662 2.879 1.462
Sb 5.319 0.000 1.462
Sb 2.659 4.606 4.385
! - Calculated density: 7769 kg/m³
! - Raw formation energy: -6.21 eV per formula unit
! - DFT total energy: -0.5342 Ry/atom



! Cd2SnBi, relaxed, DFT PBE; values from VASP
&SYSTEM
  ibrav = 0, nat = 4, ntyp = 3
/
ATOMIC_SPECIES
Cd 112.41 Cd.upf
Sn 118.71 Sn.upf
Bi 208.98 Bi.upf
CELL_PARAMETERS angstrom
4.681 0.000 0.000
0.000 4.681 0.000
0.000 0.000 4.936
ATOMIC_POSITIONS angstrom
Cd 0.000 2.341 0.000
Cd 2.341 0.000 0.000
Sn 0.000 0.000 2.468
Bi 2.341 2.341 2.468
! - Calculated density: 8482 kg/m³
! - DFT formation energy: 0.072 eV per atom
! - DFT total energy: -0.1732 Ry/atom
! - E above lowest polymorph: 21 meV/atom



! HgSbS2N, relaxed, DFT PBE; values from VASP
&SYSTEM
  ibrav = 0, nat = 5, ntyp = 4
/
ATOMIC_SPECIES
Hg 200.59 Hg.upf
Sb 121.76 Sb.upf
S 32.06 S.upf
N 14.01 N.upf
CELL_PARAMETERS angstrom
5.142 0.000 0.000
0.000 5.142 0.000
0.000 0.000 4.110
ATOMIC_POSITIONS angstrom
Hg 0.000 0.000 0.000
Sb 2.571 2.571 2.055
S 0.000 2.571 0.000
S 2.571 0.000 0.000
N 0.000 0.000 2.055
! - Calculated density: 6121 kg/m³
! - Raw formation energy: 6.06 eV per formula unit
! - DFT total energy: -0.2196 Ry/atom
! - E above lowest polymorph: 418 meV/atom